Entry 1:
! PuSc4Se6 (PBE, relaxed); values from VASP
&SYSTEM
  ibrav = 0, nat = 22, ntyp = 3
/
ATOMIC_SPECIES
Pu 244.00 Pu.upf
Sc 44.96 Sc.upf
Se 78.96 Se.upf
ATOMIC_POSITIONS crystal
Pu 0.1578 0.8422 0.7500
Pu 0.8422 0.1578 0.2500
Sc 0.0913 0.9087 0.1260
Sc 0.0913 0.9087 0.3740
Sc 0.3592 0.6408 0.0392
Sc 0.3592 0.6408 0.4608
Sc 0.6408 0.3592 0.5392
Sc 0.6408 0.3592 0.9608
Sc 0.9087 0.0913 0.6260
Sc 0.9087 0.0913 0.8740
Se 0.0000 0.0000 0.0000
Se 0.0000 0.0000 0.5000
Se 0.1724 0.8276 0.2500
Se 0.2693 0.7307 0.5880
Se 0.2693 0.7307 0.9120
Se 0.4548 0.5452 0.1613
Se 0.4548 0.5452 0.3387
Se 0.5452 0.4548 0.6613
Se 0.5452 0.4548 0.8387
Se 0.7307 0.2693 0.0880
Se 0.7307 0.2693 0.4120
Se 0.8276 0.1724 0.7500
CELL_PARAMETERS angstrom
1.9471 -6.3865 0.0000
1.9471 6.3865 0.0000
0.0000 0.0000 19.8859
! Total energy: -7.14 eV per atom
! Symmetry: Cmcm, No. 63

---

Entry 2:
! PuSc2Se3 (PBE, relaxed); values from VASP
&SYSTEM
  ibrav = 0, nat = 6, ntyp = 3
/
ATOMIC_SPECIES
Pu 244.00 Pu.upf
Sc 44.96 Sc.upf
Se 78.96 Se.upf
ATOMIC_POSITIONS crystal
Pu 0.0000 0.0000 0.0000
Sc 0.3360 0.3360 0.0000
Sc 0.6640 0.6640 0.0000
Se 0.1772 0.6772 0.5000
Se 0.5000 0.0000 0.5000
Se 0.8228 0.3228 0.5000
CELL_PARAMETERS angstrom
-1.9681 2.8151 5.9619
1.9681 -2.8151 5.9619
1.9681 2.8151 -5.9619
! Total energy: -7.81 eV per atom
! Symmetry: Immm, No. 71

---

Entry 3:
! PuScSe (PBE, relaxed); values from VASP
&SYSTEM
  ibrav = 0, nat = 3, ntyp = 3
/
ATOMIC_SPECIES
Pu 244.00 Pu.upf
Sc 44.96 Sc.upf
Se 78.96 Se.upf
ATOMIC_POSITIONS crystal
Pu 0.0000 0.0000 0.0000
Sc 0.3333 0.6667 0.5000
Se 0.6667 0.3333 0.5000
CELL_PARAMETERS angstrom
4.6401 0.0000 0.0000
-2.3200 4.0184 0.0000
0.0000 0.0000 3.7526
! Energy relative to the lowest polymorph listed for this composition: 0.226 eV per atom
! Total energy: -8.69 eV per atom
! Symmetry: P-6m2, No. 187

---

Entry 4:
! Pu2ScSe3 (PBE, relaxed); values from VASP
&SYSTEM
  ibrav = 0, nat = 12, ntyp = 3
/
ATOMIC_SPECIES
Pu 244.00 Pu.upf
Sc 44.96 Sc.upf
Se 78.96 Se.upf
ATOMIC_POSITIONS crystal
Pu 0.3333 0.6667 0.0872
Pu 0.3333 0.6667 0.4128
Pu 0.6667 0.3333 0.5872
Pu 0.6667 0.3333 0.9128
Sc 0.0000 0.0000 0.2500
Sc 0.0000 0.0000 0.7500
Se 0.0000 0.0000 0.0000
Se 0.0000 0.0000 0.5000
Se 0.3333 0.6667 0.6715
Se 0.3333 0.6667 0.8285
Se 0.6667 0.3333 0.1715
Se 0.6667 0.3333 0.3285
CELL_PARAMETERS angstrom
4.0035 0.0000 0.0000
-2.0017 3.4671 0.0000
0.0000 0.0000 20.5106
! Energy relative to the lowest polymorph listed for this composition: 0.035 eV per atom
! Total energy: -9.08 eV per atom
! Symmetry: P6_3/mmc, No. 194

---

Entry 5:
! PuSc5Se6 (PBE, relaxed); values from VASP
&SYSTEM
  ibrav = 0, nat = 12, ntyp = 3
/
ATOMIC_SPECIES
Pu 244.00 Pu.upf
Sc 44.96 Sc.upf
Se 78.96 Se.upf
ATOMIC_POSITIONS crystal
Pu 0.0000 0.0000 0.0000
Sc 0.1627 0.8373 0.5000
Sc 0.3324 0.6676 0.0000
Sc 0.5000 0.5000 0.5000
Sc 0.6676 0.3324 0.0000
Sc 0.8373 0.1627 0.5000
Se 0.0859 0.4307 0.2577
Se 0.2604 0.2604 0.7461
Se 0.4307 0.0859 0.2577
Se 0.5693 0.9141 0.7423
Se 0.7396 0.7396 0.2539
Se 0.9141 0.5693 0.7423
CELL_PARAMETERS angstrom
3.3874 -5.8723 0.0000
3.3874 5.8723 0.0000
-2.2704 0.0000 6.4090
! Total energy: -7.16 eV per atom
! Symmetry: C2/m, No. 12

---

Entry 6:
! Sm2PuScSe4 (PBE, relaxed); values from VASP
&SYSTEM
  ibrav = 0, nat = 8, ntyp = 4
/
ATOMIC_SPECIES
Sm 150.36 Sm.upf
Pu 244.00 Pu.upf
Sc 44.96 Sc.upf
Se 78.96 Se.upf
ATOMIC_POSITIONS crystal
Sm 0.0000 0.0000 0.0000
Sm 0.5000 0.5000 0.0000
Pu 0.0000 0.5000 0.5000
Sc 0.5000 0.0000 0.5000
Se 0.2552 0.0000 0.7401
Se 0.2640 0.5000 0.2664
Se 0.7360 0.5000 0.7336
Se 0.7448 0.0000 0.2599
CELL_PARAMETERS angstrom
7.0854 0.0000 0.0000
0.0000 4.0712 0.0000
-2.3272 0.0000 6.7248
! Total energy: -7.19 eV per atom
! Symmetry: P2/m, No. 10

---

Going through the records in order, we get formation energy without anion corrections values of -1.633 -1.573 -0.640 -1.504 -1.587 -1.688 eV per atom.